A plane-wave DFT calculation with PBE was carried out for an optimized crystal structure of CoNi3Rh7. Values from VASP.

Summary:
Space-group type: C2/m, No. 12
Crystal system: monoclinic
Raw total energy, eV/atom: -6.50

Geometry as Quantum ESPRESSO input:
```
&SYSTEM
  ibrav = 0, nat = 11, ntyp = 3
/
ATOMIC_SPECIES
Co 58.93 Co.upf
Ni 58.69 Ni.upf
Rh 102.91 Rh.upf
CELL_PARAMETERS angstrom
4.389 -4.436 0.000
4.389 4.436 0.000
-2.130 0.000 4.002
ATOMIC_POSITIONS crystal
Co 0.000 0.000 0.000
Ni 0.273 0.727 0.500
Ni 0.500 0.500 0.000
Ni 0.727 0.273 0.500
Rh 0.000 0.000 0.500
Rh 0.097 0.561 0.826
Rh 0.314 0.314 0.383
Rh 0.439 0.903 0.174
Rh 0.561 0.097 0.826
Rh 0.686 0.686 0.617
Rh 0.903 0.439 0.174
```



A plane-wave DFT calculation with PBE was carried out for an optimized crystal structure of CoNi2Rh6. Values from VASP.

Summary:
Space-group type: P-1, No. 2
Crystal system: triclinic
Raw total energy, eV/atom: -6.76

Geometry as Quantum ESPRESSO input:
```
&SYSTEM
  ibrav = 0, nat = 9, ntyp = 3
/
ATOMIC_SPECIES
Co 58.93 Co.upf
Ni 58.69 Ni.upf
Rh 102.91 Rh.upf
CELL_PARAMETERS angstrom
4.711 0.000 0.000
0.321 4.896 0.000
1.669 1.661 5.402
ATOMIC_POSITIONS crystal
Co 0.000 0.000 0.000
Ni 0.154 0.898 0.354
Ni 0.846 0.102 0.646
Rh 0.020 0.540 0.767
Rh 0.403 0.266 0.470
Rh 0.463 0.270 0.957
Rh 0.537 0.730 0.043
Rh 0.597 0.734 0.530
Rh 0.980 0.460 0.233
```